The following is a GGA-PBE calculation of a relaxed structure of Ce11Sn9Pd4, from Alexandria.

Values from the calculation:
spin magnetization = 9.653 μB/f.u.
ΔE_f = -0.700 eV/atom
mass density = 8.2 Mg/m³

Cell and atoms, written as CIF:
```
data_Ce11Sn9Pd4
_chemical_formula_sum 'Ce22 Sn18 Pd8'
_cell_length_a 14.1441
_cell_length_b 20.6781
_cell_length_c 4.2174
_cell_angle_alpha 90.00
_cell_angle_beta 90.00
_cell_angle_gamma 90.00
_space_group_name_H-M_alt 'C m m m'
_space_group_IT_number 65
_space_group_name_Hall '-C 2 2'
loop_
_atom_site_label
_atom_site_type_symbol
_atom_site_fract_x
_atom_site_fract_y
_atom_site_fract_z
Ce1 Ce 0.0000 0.0000 0.0000
Ce2 Ce 0.0000 0.1580 0.0000
Ce3 Ce 0.0000 0.3709 0.0000
Ce4 Ce 0.1934 0.5000 0.0000
Ce5 Ce 0.2409 0.1810 0.0000
Sn1 Sn 0.0000 0.5000 0.5000
Sn2 Sn 0.1059 0.2626 0.5000
Sn3 Sn 0.1463 0.0753 0.5000
Pd1 Pd 0.1527 0.3987 0.5000
```